Entry 1:
First-principles (PBE with a Hubbard U) data for crystalline RbSbMo2O8 at its relaxed geometry, as listed in Alexandria.

a b c (Å): 5.758 5.758 8.434
angles (deg): 88.59 88.59 64.53
Sites, in units of the cell vectors:
Mo (0.363, 0.363, 0.786)
O (0.778, 0.288, 0.191)
O (0.288, 0.778, 0.191)
O (0.222, 0.712, 0.809)
O (0.224, 0.224, 0.933)
O (0.702, 0.702, 0.405)
O (0.776, 0.776, 0.067)
Mo (0.637, 0.637, 0.214)
O (0.712, 0.222, 0.809)
Sb (0.000, 0.000, 0.000)
O (0.298, 0.298, 0.595)
Rb (0.000, 0.000, 0.500)

Properties
* final energy: -6.53 eV per atom
* theoretical density: 3.5 g cm⁻³
* total magnetization: 0.000 μB per formula unit
* Fermi-level density of states: 0.00 states/eV per cell

Entry 2:
First-principles (PBE with a Hubbard U) data for crystalline Rb2ScMo3O12 at its relaxed geometry, as listed in Alexandria.

a b c (Å): 7.455 7.455 7.455
angles (deg): 59.88 59.88 59.88
Each line ends with the local moment (μB).
Sites, in units of the cell vectors:
O (0.307, 0.938, 0.307)  0.08
Rb (0.367, 0.367, 0.367)  0.00
Sc (0.000, 0.000, 0.000)  -0.01
O (0.667, 0.067, 0.067)  0.11
O (0.693, 0.062, 0.693)  0.08
O (0.062, 0.693, 0.693)  0.08
O (0.333, 0.933, 0.933)  0.11
O (0.067, 0.067, 0.667)  0.11
O (0.933, 0.933, 0.333)  0.11
O (0.067, 0.667, 0.067)  0.11
O (0.307, 0.307, 0.938)  0.08
Mo (0.000, 0.000, 0.500)  -0.07
Mo (0.500, 0.000, 0.000)  -0.07
O (0.933, 0.333, 0.933)  0.11
Mo (0.000, 0.500, 0.000)  -0.07
Rb (0.633, 0.633, 0.633)  0.00
O (0.938, 0.307, 0.307)  0.08
O (0.693, 0.693, 0.062)  0.08

Properties
* final energy: -6.78 eV per atom
* theoretical density: 4.0 g cm⁻³
* total magnetization: 1.094 μB per formula unit
* Fermi-level density of states: 11.86 states/eV per cell

Entry 3:
First-principles (PBE with a Hubbard U) data for crystalline RbScMo2O8 at its relaxed geometry, as listed in Alexandria.

a b c (Å): 5.896 5.896 7.796
angles (deg): 90.00 90.00 120.00
Sites, in units of the cell vectors:
O (0.670, 0.835, 0.838)
O (0.835, 0.165, 0.162)
O (0.165, 0.835, 0.838)
O (0.835, 0.670, 0.162)
O (0.667, 0.333, 0.459)
Rb (0.000, 0.000, 0.500)
O (0.333, 0.667, 0.541)
O (0.330, 0.165, 0.162)
Mo (0.667, 0.333, 0.234)
O (0.165, 0.330, 0.838)
Mo (0.333, 0.667, 0.766)
Sc (0.000, 0.000, 0.000)

Properties
* final energy: -7.24 eV per atom
* theoretical density: 3.2 g cm⁻³
* total magnetization: 0.000 μB per formula unit
* Fermi-level density of states: 0.00 states/eV per cell